No. 1
Entry from the Open Quantum Materials Database: a relaxed structure of Ni12W17 (GGA-PBE).

Values from the calculation:
Magnetization ... 1.34 μB/f.u.
Formation energy from the elements ... 0.185 eV/atom

a = 8.0645 Å, b = 8.0645 Å, c = 8.0645 Å
α = 109.47°, β = 109.47°, γ = 109.47°
Closest atoms and distances in Å follow each position.
Fractional coordinates of all 29 atoms:
Ni 0.0000 0.1858 0.3659  3 Ni 2.37-2.45, 3 W 2.56-2.65
Ni 0.0000 0.3659 0.1858  3 Ni 2.37-2.45, 3 W 2.56-2.65
Ni 0.1800 0.8142 0.8142  3 Ni 2.37-2.45, 3 W 2.56-2.65
Ni 0.1858 0.0000 0.3659  3 Ni 2.37-2.45, 3 W 2.56-2.65
Ni 0.1858 0.3659 0.0000  3 Ni 2.37-2.45, 3 W 2.56-2.65
Ni 0.3659 0.0000 0.1858  3 Ni 2.37-2.45, 3 W 2.56-2.65
Ni 0.3659 0.1858 0.0000  3 Ni 2.37-2.45, 3 W 2.56-2.65
Ni 0.6341 0.6341 0.8200  3 Ni 2.37-2.45, 3 W 2.56-2.65
Ni 0.6341 0.8200 0.6341  3 Ni 2.37-2.45, 3 W 2.56-2.65
Ni 0.8142 0.1800 0.8142  3 Ni 2.37-2.45, 3 W 2.56-2.65
Ni 0.8142 0.8142 0.1800  3 Ni 2.37-2.45, 3 W 2.56-2.65
Ni 0.8200 0.6341 0.6341  3 Ni 2.37-2.45, 3 W 2.56-2.65
W 0.0000 0.0000 0.0000  12 Ni 2.83, 4 W 2.88
W 0.0000 0.0000 0.6430  4 W 2.66-2.88, 6 Ni 2.78
W 0.0000 0.3987 0.6826  5 Ni 2.56-2.80, 7 W 2.66-2.80
W 0.0000 0.6430 0.0000  4 W 2.66-2.88, 6 Ni 2.78
W 0.0000 0.6826 0.3987  5 Ni 2.56-2.80, 7 W 2.66-2.80
W 0.2839 0.6013 0.6013  5 Ni 2.56-2.80, 7 W 2.66-2.80
W 0.3174 0.3174 0.7161  5 Ni 2.56-2.80, 7 W 2.66-2.80
W 0.3174 0.7161 0.3174  5 Ni 2.56-2.80, 7 W 2.66-2.80
W 0.3570 0.3570 0.3570  4 W 2.66-2.88, 6 Ni 2.78
W 0.3987 0.0000 0.6826  5 Ni 2.56-2.80, 7 W 2.66-2.80
W 0.3987 0.6826 0.0000  5 Ni 2.56-2.80, 7 W 2.66-2.80
W 0.6013 0.2839 0.6013  5 Ni 2.56-2.80, 7 W 2.66-2.80
W 0.6013 0.6013 0.2839  5 Ni 2.56-2.80, 7 W 2.66-2.80
W 0.6430 0.0000 0.0000  4 W 2.66-2.88, 6 Ni 2.78
W 0.6826 0.0000 0.3987  5 Ni 2.56-2.80, 7 W 2.66-2.80
W 0.6826 0.3987 0.0000  5 Ni 2.56-2.80, 7 W 2.66-2.80
W 0.7161 0.3174 0.3174  5 Ni 2.56-2.80, 7 W 2.66-2.80



No. 2
Entry from the Open Quantum Materials Database: a relaxed structure of CdSiSb (GGA-PBE).

Values from the calculation:
Energy ... -9.3 eV/cell

a = 4.7513 Å, b = 4.7513 Å, c = 4.7513 Å
α = 60.00°, β = 60.00°, γ = 60.00°
Closest atoms and distances in Å follow each position.
Fractional coordinates of all 3 atoms:
Cd 0.0000 0.0000 0.0000  4 Si 2.91
Si 0.2500 0.2500 0.2500  4 Sb 2.91, 4 Cd 2.91
Sb 0.5000 0.5000 0.5000  4 Si 2.91



No. 3
Entry from the Open Quantum Materials Database: a relaxed structure of CsMgNbS3 (GGA-PBE).

Values from the calculation:
Magnetization ... 0.00 μB/f.u.
Energy ... -63.8 eV/cell

a = 9.0129 Å, b = 3.7574 Å, c = 10.1366 Å
α = 90.00°, β = 116.27°, γ = 90.00°
Closest atoms and distances in Å follow each position.
Fractional coordinates of all 12 atoms:
Cs 0.2210 0.2500 0.2520  7 S 3.42-3.62, 2 Cs 3.76
Cs 0.7790 0.7500 0.7480  7 S 3.42-3.62, 2 Cs 3.76
Mg 0.0965 0.2500 0.6231  4 S 2.39-2.52
Mg 0.9035 0.7500 0.3769  4 S 2.39-2.52
Nb 0.3724 0.7500 0.8950  5 S 2.44-2.64
Nb 0.6276 0.2500 0.1050  5 S 2.44-2.64
S 0.1590 0.2500 0.8782  1 Mg 2.39, 2 Nb 2.64
S 0.2075 0.7500 0.5513  3 Mg 2.39-2.52
S 0.4801 0.7500 0.1622  3 Nb 2.44-2.51
S 0.5199 0.2500 0.8378  3 Nb 2.44-2.51
S 0.7925 0.2500 0.4487  3 Mg 2.39-2.52
S 0.8410 0.7500 0.1218  1 Mg 2.39, 2 Nb 2.64



No. 4
Entry from the Open Quantum Materials Database: a relaxed structure of Pr2YSn7 (GGA-PBE).

Values from the calculation:
Magnetization ... 0.01 μB/f.u.
Energy ... -49.9 eV/cell

a = 13.7139 Å, b = 13.7139 Å, c = 4.5138 Å
α = 90.00°, β = 90.00°, γ = 161.32°
Closest atoms and distances in Å follow each position.
Fractional coordinates of all 10 atoms:
Pr 0.1862 0.8138 0.0000  10 Sn 3.25-3.53
Pr 0.8138 0.1862 0.0000  10 Sn 3.25-3.53
Y 0.5000 0.5000 0.5000  12 Sn 3.17-3.38
Sn 0.0000 0.0000 0.0000  4 Y 3.17, 8 Sn 3.36-3.39
Sn 0.0936 0.9064 0.5000  6 Sn 3.17-3.39, 2 Y 3.37, 2 Pr 3.37
Sn 0.2867 0.7133 0.5000  2 Sn 2.98, 4 Pr 3.25
Sn 0.4071 0.5929 0.0000  6 Sn 3.17-3.36, 2 Pr 3.37, 2 Y 3.38
Sn 0.5929 0.4071 0.0000  6 Sn 3.17-3.36, 2 Pr 3.37, 2 Y 3.38
Sn 0.7133 0.2867 0.5000  2 Sn 2.98, 4 Pr 3.25
Sn 0.9064 0.0936 0.5000  6 Sn 3.17-3.39, 2 Y 3.37, 2 Pr 3.37



No. 5
Entry from the Open Quantum Materials Database: a relaxed structure of ScTlFeOs (GGA-PBE).

Values from the calculation:
Magnetization ... 2.09 μB/f.u.
Energy ... -26.9 eV/cell

a = 4.5872 Å, b = 4.5872 Å, c = 4.5872 Å
α = 60.00°, β = 60.00°, γ = 60.00°
Closest atoms and distances in Å follow each position.
Fractional coordinates of all 4 atoms:
Sc 0.0000 0.0000 0.0000  4 Fe 2.81, 4 Os 2.81
Tl 0.5000 0.5000 0.5000  4 Fe 2.81, 4 Os 2.81
Fe 0.7500 0.7500 0.7500  4 Tl 2.81, 4 Sc 2.81
Os 0.2500 0.2500 0.2500  4 Tl 2.81, 4 Sc 2.81



No. 6
Entry from the Open Quantum Materials Database: a relaxed structure of LiAg3Te4Pt (GGA-PBE).

Values from the calculation:
Magnetization ... 0.01 μB/f.u.
Energy ... -29.7 eV/cell

a = 6.4134 Å, b = 6.4134 Å, c = 6.4134 Å
α = 90.00°, β = 90.00°, γ = 90.00°
Closest atoms and distances in Å follow each position.
Fractional coordinates of all 9 atoms:
Li 0.0000 0.0000 0.0000  4 Te 2.82
Ag 0.0000 0.5000 0.5000  4 Te 2.76
Ag 0.5000 0.0000 0.5000  4 Te 2.76
Ag 0.5000 0.5000 0.0000  4 Te 2.76
Te 0.2538 0.2538 0.2538  1 Pt 2.74, 3 Ag 2.76, 1 Li 2.82
Te 0.2538 0.7462 0.7462  1 Pt 2.74, 3 Ag 2.76, 1 Li 2.82
Te 0.7462 0.2538 0.7462  1 Pt 2.74, 3 Ag 2.76, 1 Li 2.82
Te 0.7462 0.7462 0.2538  1 Pt 2.74, 3 Ag 2.76, 1 Li 2.82
Pt 0.5000 0.5000 0.5000  4 Te 2.74